Arrangement A

Below is Sm2Th after structural relaxation, with properties calculated at the GGA-PBE level.

Calculated values
spin magnetization = 0.000 μB per atom
SG = R-3m (166)
D(E_F) = 4.046 states/eV per cell

```
Sm2Th
1.0
-0.825 3.072 1.758
-1.266 -0.138 3.404
7.458 1.422 4.771
Sm Th
2 1
direct
0.775 0.775 0.676
0.225 0.225 0.324
0.000 0.000 0.000
```

=====

Arrangement B

Below is Sm2Th after structural relaxation, with properties calculated at the GGA-PBE level.

Calculated values
spin magnetization = 0.000 μB per atom
SG = P6/mmm (191)
D(E_F) = 4.124 states/eV per cell

```
Sm2Th
1.0
-2.629 -1.681 4.781
5.693 -0.224 -0.356
0.208 3.265 1.262
Sm Th
2 1
direct
0.667 0.333 0.500
0.333 0.667 0.500
0.000 0.000 0.000
```

=====

Arrangement C

Below is Sm2Th after structural relaxation, with properties calculated at the GGA-PBE level.

Calculated values
spin magnetization = 0.303 μB per atom
SG = Fd-3m (227)
D(E_F) = 13.514 states/eV per cell

```
Sm2Th
1.0
-5.297 3.808 -0.554
-4.272 0.405 4.945
-0.446 5.517 3.498
Th Sm
2 4
direct
0.000 0.000 0.000
0.250 0.250 0.250
0.625 0.625 0.125
0.625 0.125 0.625
0.625 0.625 0.625
0.125 0.625 0.625
```

=====

Arrangement D

Below is Sm2Th after structural relaxation, with properties calculated at the GGA-PBE level.

Calculated values
spin magnetization = 0.000 μB per atom
SG = I4/mmm (139)
D(E_F) = 5.182 states/eV per cell

```
Sm2Th
1.0
4.239 0.002 0.000
0.002 4.239 0.000
-2.120 -2.120 5.522
Sm Th
2 1
direct
0.829 0.829 0.659
0.171 0.171 0.341
0.500 0.500 0.000
```

=====

Energy ordering: arrangement A at the bottom, the next structure 6.5 kJ/mol of atoms above.

=====

Arrangement A

Below is SmTh5 after structural relaxation, with properties calculated at the GGA-PBE level.

Calculated values
spin magnetization = 0.000 μB per atom
SG = Cmmm (65)
D(E_F) = 11.395 states/eV per cell

```
SmTh5
1.0
3.586 0.000 0.000
0.000 6.032 0.000
0.000 -3.016 9.003
Th Sm
5 1
direct
0.500 0.500 0.000
0.000 0.333 0.666
0.500 0.832 0.664
0.000 0.667 0.334
0.500 0.168 0.336
0.000 0.000 0.000
```

=====

Arrangement B

Below is SmTh5 after structural relaxation, with properties calculated at the GGA-PBE level.

Calculated values
spin magnetization = 0.000 μB per atom
SG = P4/mmm (123)
D(E_F) = 9.140 states/eV per cell

```
SmTh5
1.0
-0.296 -2.610 -2.447
2.791 -1.704 1.480
-9.428 -7.503 9.143
Th Sm
5 1
direct
0.000 0.000 0.671
0.000 0.000 0.000
0.500 0.500 0.835
0.000 0.000 0.329
0.500 0.500 0.165
0.500 0.500 0.500
```

=====

Energy ordering: arrangement B at the bottom, the next structure 8.9 kJ/mol of atoms above.

=====

Arrangement A

Below is SmThTl after structural relaxation, with properties calculated at the GGA-PBE level.

Calculated values
spin magnetization = 0.000 μB per atom
SG = I4mm (107)
D(E_F) = 2.715 states/eV per cell

```
SmThTl
1.0
-0.402 3.622 -1.946
-1.909 -1.896 -3.136
-3.480 -0.107 4.905
Sm Th Tl
1 1 1
direct
0.607 0.607 0.214
0.289 0.289 0.577
0.954 0.954 0.908
```

=====

Arrangement B

Below is SmThTl after structural relaxation, with properties calculated at the GGA-PBE level.

Calculated values
spin magnetization = 0.000 μB per atom
SG = C2/m (12)
D(E_F) = 7.288 states/eV per cell

```
SmThTl
1.0
7.820 5.327 -2.002
5.289 7.846 -2.002
-4.088 -4.108 7.075
Th Sm Tl
2 2 2
direct
0.379 0.379 0.224
0.621 0.621 0.776
0.815 0.815 0.778
0.185 0.185 0.222
0.924 0.924 0.630
0.076 0.076 0.370
```

=====

Energy ordering: arrangement A at the bottom, the next structure 3.9 kJ/mol of atoms above.

=====

Arrangement A

Below is SmThTl after structural relaxation, with properties calculated at the GGA-PBE level.

Calculated values
spin magnetization = 0.000 μB per atom
SG = I4/mmm (139)
D(E_F) = 5.778 states/eV per cell

```
SmThTl
1.0
4.588 0.000 -0.957
-0.200 4.584 -0.957
-0.458 -0.478 9.283
Th Sm Tl
2 2 2
direct
0.500 0.000 0.000
0.000 0.500 0.000
0.822 0.822 0.644
0.178 0.178 0.356
0.360 0.360 0.720
0.640 0.640 0.280
```

=====

Arrangement B

Below is SmThTl after structural relaxation, with properties calculated at the GGA-PBE level.

Calculated values
spin magnetization = 0.000 μB per atom
SG = P3m1 (156)
D(E_F) = 5.129 states/eV per cell

```
SmThTl
1.0
3.635 0.000 0.000
0.000 5.443 0.000
0.000 -2.721 4.713
Tl Sm Th
1 1 1
direct
0.690 0.667 0.333
0.927 0.000 0.000
0.383 0.333 0.667
```

=====

Energy ordering: arrangement A at the bottom, the next structure 19.1 kJ/mol of atoms above.

=====

Arrangement A

Below is Sm5Tm4Th after structural relaxation, with properties calculated at the GGA-PBE level.

Calculated values
spin magnetization = 0.000 μB per atom
SG = C2/m (12)
D(E_F) = 14.870 states/eV per cell

```
Sm5Tm4Th
1.0
-0.919 0.084 -3.401
9.808 -5.195 -2.780
-10.590 -3.212 4.608
Tm Sm Th
4 5 1
direct
0.082 0.367 0.163
0.918 0.633 0.837
0.605 0.911 0.210
0.395 0.089 0.790
0.204 0.295 0.408
0.796 0.705 0.592
0.500 0.500 0.000
0.810 0.200 0.620
0.190 0.800 0.380
0.500 0.000 0.000
```

=====

Arrangement B

Below is Sm5Tm4Th after structural relaxation, with properties calculated at the GGA-PBE level.

Calculated values
spin magnetization = 0.000 μB per atom
SG = I4 (79)
D(E_F) = 13.643 states/eV per cell

```
Sm5Tm4Th
1.0
-2.095 3.407 4.987
2.623 -2.580 6.961
4.675 6.031 1.941
Tm Sm Th
4 5 1
direct
0.101 0.296 0.397
0.497 0.603 0.296
0.794 0.704 0.603
0.397 0.397 0.704
0.716 0.091 0.379
0.690 0.000 0.000
0.096 0.621 0.091
0.187 0.909 0.621
0.807 0.379 0.909
0.226 0.000 0.000
```

=====

Energy ordering: arrangement A at the bottom, the next structure 27.3 kJ/mol of atoms above.

=====

Arrangement A

Below is SmTmTh2 after structural relaxation, with properties calculated at the GGA-PBE level.

Calculated values
spin magnetization = 0.000 μB per atom
SG = R3m (160)
D(E_F) = 5.829 states/eV per cell

```
SmTmTh2
1.0
-3.495 -0.381 -0.580
-1.147 -1.864 -2.813
-1.558 -10.456 5.306
Th Sm Tm
2 1 1
direct
0.082 0.082 0.753
0.251 0.251 0.246
0.498 0.498 0.505
0.668 0.668 0.996
```

=====

Arrangement B

Below is SmTmTh2 after structural relaxation, with properties calculated at the GGA-PBE level.

Calculated values
spin magnetization = 0.000 μB per atom
SG = P2_1/m (11)
D(E_F) = 13.425 states/eV per cell

```
SmTmTh2
1.0
-3.372 0.070 3.743
1.076 -4.833 1.060
10.556 2.940 2.689
Th Tm Sm
4 2 2
direct
0.378 0.750 0.878
0.622 0.250 0.122
0.877 0.250 0.877
0.123 0.750 0.123
0.130 0.250 0.630
0.870 0.750 0.370
0.630 0.750 0.630
0.370 0.250 0.370
```

=====

Arrangement C

Below is SmTmTh2 after structural relaxation, with properties calculated at the GGA-PBE level.

Calculated values
spin magnetization = 0.000 μB per atom
SG = Fm-3m (225)
D(E_F) = 6.379 states/eV per cell

```
SmTmTh2
1.0
-2.911 3.908 -2.882
-5.646 -0.310 -0.279
-3.182 3.774 2.771
Tm Th Sm
1 2 1
direct
0.000 0.000 0.000
0.750 0.750 0.750
0.250 0.250 0.250
0.500 0.500 0.500
```

=====

Energy ordering: arrangement B at the bottom, the next structure 1.4 kJ/mol of atoms above.